A geometry-optimized NpF5 structure. Source: the Alexandria database, functional PBE.

Results
- energy above the most stable polymorph in this dataset (eV per formula unit) = 0.03
- space group = C2/c, No. 15

```
NpF5
1.0
-4.499 -2.146 2.443
4.533 -2.257 2.274
0.564 8.009 3.058
F Np
10 2
direct
0.783 0.133 0.124
0.786 0.625 0.992
0.712 0.962 0.750
0.867 0.206 0.492
0.288 0.038 0.250
0.491 0.340 0.624
0.214 0.375 0.008
0.133 0.794 0.508
0.217 0.867 0.876
0.509 0.660 0.376
0.000 0.000 0.000
0.500 0.000 0.500
```

---

A geometry-optimized NpF5 structure. Source: the Alexandria database, functional PBE.

Results
- energy above the most stable polymorph in this dataset (eV per formula unit) = 1.20
- space group = Pmma, No. 51

```
NpF5
1.0
-0.234 2.039 -2.905
1.858 -4.733 -3.472
-7.424 -2.214 -0.955
F Np
10 2
direct
0.500 0.710 0.413
0.000 0.515 0.750
0.500 0.053 0.250
0.000 0.485 0.250
0.500 0.947 0.750
0.500 0.290 0.587
0.500 0.290 0.913
0.500 0.710 0.087
0.000 0.000 0.500
0.000 0.000 0.000
0.000 0.814 0.250
0.000 0.186 0.750
```

---

A geometry-optimized Np3F8 structure. Source: the Alexandria database, functional PBE.

Results
- E_tot (eV per atom) = -8.129
- space group = Pm-3m, No. 221

```
Np3F8
1.0
5.778 0.000 0.000
0.000 5.778 0.000
0.000 0.000 5.778
F Np
8 3
direct
0.736 0.264 0.264
0.736 0.736 0.264
0.264 0.736 0.736
0.264 0.264 0.264
0.736 0.264 0.736
0.264 0.736 0.264
0.264 0.264 0.736
0.736 0.736 0.736
0.000 0.500 0.500
0.500 0.500 0.000
0.500 0.000 0.500
```

---

A geometry-optimized NpF3 structure. Source: the Alexandria database, functional PBE.

Results
- E_tot (eV per atom) = -7.962
- space group = Imm2, No. 44

```
NpF3
1.0
-1.265 -0.129 3.557
2.090 -4.458 0.581
2.295 3.695 -1.056
Np F
1 3
direct
0.000 0.075 0.000
0.295 0.667 0.590
0.705 0.077 0.410
0.500 0.348 0.000
```

---

A geometry-optimized NpOF3 structure. Source: the Alexandria database, functional PBE.

Results
- energy above the most stable polymorph in this dataset (eV per formula unit) = 0.00
- space group = C2/m, No. 12

```
NpOF3
1.0
-3.256 3.582 -3.118
-3.892 -4.040 1.300
2.332 2.565 5.201
O F Np
2 6 2
direct
0.675 0.057 0.732
0.325 0.943 0.268
0.294 0.511 0.805
0.269 0.459 0.315
0.731 0.541 0.685
0.855 0.046 0.315
0.706 0.489 0.195
0.145 0.954 0.685
0.683 0.783 0.467
0.317 0.217 0.533
```

---

A geometry-optimized Np2O8F structure. Source: the Alexandria database, functional PBE.

Results
- E_tot (eV per atom) = -8.119
- space group = C2/m, No. 12

```
Np2O8F
1.0
-0.541 0.495 6.915
-0.855 -5.520 2.465
4.787 -2.658 2.702
O Np F
8 2 1
direct
0.329 0.145 0.573
0.745 0.313 0.313
0.255 0.687 0.687
0.329 0.573 0.145
0.598 0.951 0.951
0.402 0.049 0.049
0.671 0.427 0.855
0.671 0.855 0.427
0.663 0.165 0.165
0.337 0.835 0.835
0.000 0.000 0.000
```

---

A geometry-optimized NpOF structure. Source: the Alexandria database, functional PBE.

Results
- E_tot (eV per atom) = -9.619
- space group = Pnma, No. 62

```
NpOF
1.0
-0.274 -1.628 3.391
6.214 -1.802 -0.363
1.881 5.884 2.977
Np O F
4 4 4
direct
0.750 0.711 0.895
0.250 0.789 0.395
0.250 0.289 0.105
0.750 0.211 0.605
0.750 0.354 0.921
0.750 0.854 0.579
0.250 0.646 0.079
0.250 0.146 0.421
0.250 0.028 0.844
0.750 0.972 0.156
0.750 0.472 0.344
0.250 0.528 0.656
```

---

A geometry-optimized Np2O6F structure. Source: the Alexandria database, functional PBE.

Results
- E_tot (eV per atom) = -8.872
- space group = P-1, No. 2

```
Np2O6F
1.0
-0.763 3.284 -1.220
-5.837 4.137 1.579
6.129 2.266 4.589
Np O F
2 6 1
direct
0.288 0.692 0.725
0.712 0.308 0.275
0.429 0.647 0.443
0.571 0.353 0.557
0.867 0.558 0.815
0.658 0.887 0.690
0.133 0.442 0.185
0.342 0.113 0.310
0.000 0.000 0.000
```

---

A geometry-optimized NpOF structure. Source: the Alexandria database, functional PBE.

Results
- E_tot (eV per atom) = -9.667
- space group = Fddd, No. 70

```
NpOF
1.0
-5.554 -1.106 0.428
1.418 -4.809 2.667
1.914 5.619 3.334
F O Np
4 4 4
direct
0.154 0.654 0.735
0.670 0.670 0.765
0.904 0.904 0.235
0.920 0.420 0.265
0.667 0.167 0.760
0.417 0.417 0.260
0.157 0.157 0.740
0.407 0.907 0.240
0.067 0.507 0.000
0.757 0.817 0.500
0.317 0.257 0.500
0.507 0.067 0.000
```

---

A geometry-optimized Np2O4F structure. Source: the Alexandria database, functional PBE.

Results
- E_tot (eV per atom) = -9.860
- space group = R-3m, No. 166

```
Np2O4F
1.0
3.575 0.000 1.157
1.600 3.197 1.157
-0.612 -0.378 7.990
O F Np
4 1 2
direct
0.801 0.801 0.597
0.408 0.408 0.776
0.199 0.199 0.403
0.592 0.592 0.224
0.000 0.000 0.000
0.099 0.099 0.704
0.901 0.901 0.296
```

---

A geometry-optimized NpO3F2 structure. Source: the Alexandria database, functional PBE.

Results
- E_tot (eV per atom) = -7.656
- space group = P-1, No. 2

```
NpO3F2
1.0
11.291 2.520 -2.059
0.931 5.056 -3.199
-3.228 -1.929 5.590
Np O F
2 6 4
direct
0.761 0.934 0.920
0.239 0.066 0.080
0.314 0.289 0.099
0.686 0.711 0.901
0.520 0.927 0.559
0.816 0.165 0.919
0.184 0.835 0.081
0.480 0.073 0.441
0.247 0.563 0.592
0.753 0.437 0.408
0.987 0.911 0.234
0.013 0.089 0.766
```

---

A geometry-optimized NpOF structure. Source: the Alexandria database, functional PBE.

Results
- E_tot (eV per atom) = -9.400
- space group = P3m1, No. 156

```
NpOF
1.0
4.383 0.000 0.000
0.000 3.666 0.000
0.000 -1.833 3.175
F O Np
1 1 1
direct
0.747 0.667 0.333
0.211 0.333 0.667
0.042 0.000 0.000
```